# 1
First-principles (PBE-GGA) data for crystalline PrTm4Ag at its relaxed geometry, as listed in Alexandria.

total DFT energy (no corrections)	-25.96	eV/cell

a b c (Å): 3.5489 3.5489 13.7805
angles (deg): 90.00 90.00 90.00
Space group P4/mmm (No. 123)
Asymmetric unit:
Pr: 0.0000 0.0000 0.0000 (multiplicity 1)
Tm: 0.0000 0.0000 0.3659 (multiplicity 2)
Tm: 0.5000 0.5000 0.1860 (multiplicity 2)
Ag: 0.5000 0.5000 0.5000 (multiplicity 1)



# 2
First-principles (PBE-GGA) data for crystalline Pr5TmAg4 at its relaxed geometry, as listed in Alexandria.

total DFT energy (no corrections)	-41.62	eV/cell

a b c (Å): 3.7452 3.7452 20.2251
angles (deg): 90.00 90.00 90.00
Space group P4/mmm (No. 123)
Asymmetric unit:
Pr: 0.0000 0.0000 0.0000 (multiplicity 1)
Pr: 0.0000 0.0000 0.1909 (multiplicity 2)
Pr: 0.0000 0.0000 0.3805 (multiplicity 2)
Tm: 0.5000 0.5000 0.5000 (multiplicity 1)
Ag: 0.5000 0.5000 0.0950 (multiplicity 2)
Ag: 0.5000 0.5000 0.2872 (multiplicity 2)



# 3
First-principles (PBE-GGA) data for crystalline Pr2Tm2Ag at its relaxed geometry, as listed in Alexandria.

total DFT energy (no corrections)	-43.75	eV/cell

a b c (Å): 3.6124 3.6124 22.8450
angles (deg): 90.00 90.00 90.00
Space group I4/mmm (No. 139)
Asymmetric unit:
Pr: 0.0000 0.0000 0.1908 (multiplicity 4)
Tm: 0.0000 0.0000 0.4218 (multiplicity 4)
Ag: 0.0000 0.0000 0.0000 (multiplicity 2)



Question: Number 2 is which compound?
Answer: Pr5TmAg4



Question: Which value of total DFT energy (no corrections) does entry 2 give?
Answer: -41.62 eV/cell